Record 1
Pr5Tl2Rh after structural relaxation. Source: Alexandria, functional PBE-GGA.

Cell lengths 7.256, 7.256, 6.873 Å; angles 121.82, 121.82, 90.06 degrees
Sites, in units of the cell vectors:
Pr 0.734 0.234 0.968
Rh 0.130 0.130 0.260
Pr 0.234 0.734 0.968
Pr 0.748 0.748 0.496
Tl 0.232 0.732 0.464
Pr 0.234 0.234 0.967
Pr 0.733 0.733 0.967
Tl 0.732 0.232 0.464

Values from the calculation:
Total moment, Bohr magnetons per cell: 0.000
Calculated total energy, eV/atom: -4.740

Record 2
Pr4TlRh2 after structural relaxation. Source: Alexandria, functional PBE-GGA.

Cell lengths 4.243, 4.243, 13.952 Å; angles 81.25, 81.25, 60.00 degrees
Sites, in units of the cell vectors:
Pr 0.202 0.202 0.393
Tl 0.000 0.000 0.000
Pr 0.798 0.798 0.607
Pr 0.391 0.391 0.826
Pr 0.609 0.609 0.174
Rh 0.904 0.904 0.287
Rh 0.096 0.096 0.713

Values from the calculation:
Total moment, Bohr magnetons per cell: 0.000
Calculated total energy, eV/atom: -5.635

Record 3
Pr3TlRh8 after structural relaxation. Source: Alexandria, functional PBE-GGA.

Cell lengths 5.394, 5.394, 9.435 Å; angles 73.39, 73.39, 60.00 degrees
Sites, in units of the cell vectors:
Pr 0.376 0.376 0.873
Rh 0.437 0.938 0.188
Pr 0.995 0.995 0.014
Rh 0.937 0.439 0.687
Rh 0.938 0.437 0.188
Pr 0.504 0.504 0.488
Rh 0.437 0.437 0.188
Tl 0.874 0.874 0.379
Rh 0.688 0.688 0.937
Rh 0.188 0.188 0.436
Rh 0.439 0.937 0.687
Rh 0.937 0.937 0.687

Values from the calculation:
Total moment, Bohr magnetons per cell: 0.000
Calculated total energy, eV/atom: -6.771

- total moment of number 2 (Pr4TlRh2)?
  0.000 Bohr magnetons per cell